Entry 1:
KMg2ZnAu: relaxed, PBE.

The calculated total energy comes out at -1.897 eV per atom.

Unit cell a=5.238 b=5.238 c=5.067 alpha=90.00 beta=90.00 gamma=90.00
Atoms (fractional coordinates):
Mg (0.000, 0.500, 0.000)
Mg (0.500, 0.000, 0.000)
Zn (0.000, 0.000, 0.500)
Au (0.000, 0.000, 0.000)
K (0.500, 0.500, 0.500)

Entry 2:
K2MnAu: relaxed, PBE.

As for the offset from the most stable computed form: 0.276 eV/atom. The calculated total energy comes out at -3.214 eV per atom.

Unit cell a=3.867 b=3.867 c=9.119 alpha=90.00 beta=90.00 gamma=89.98
Last column: magnetic moment on the atom in μB.
Atoms (fractional coordinates):
Au (0.500, 0.500, 0.750)  0.00
K (0.000, 0.000, 0.967)  -0.01
K (0.000, 0.000, 0.533)  -0.01
Mn (0.500, 0.500, 0.250)  4.28

Entry 3:
KMnAu3: relaxed, PBE.

As for the offset from the most stable computed form: 0.000 eV/atom. The calculated total energy comes out at -3.903 eV per atom.

Unit cell a=5.119 b=5.119 c=5.119 alpha=90.00 beta=90.00 gamma=90.00
Last column: magnetic moment on the atom in μB.
Atoms (fractional coordinates):
K (0.500, 0.500, 0.500)  0.00
Mn (0.000, 0.000, 0.000)  3.98
Au (0.000, 0.500, 0.000)  0.10
Au (0.000, 0.000, 0.500)  0.12
Au (0.500, 0.000, 0.000)  0.08

Entry 4:
KMnAu2: relaxed, PBE.

The calculated total energy comes out at -3.900 eV per atom.

Unit cell a=5.584 b=5.584 c=5.584 alpha=134.97 beta=134.97 gamma=65.58
Last column: magnetic moment on the atom in μB.
Atoms (fractional coordinates):
Au (0.000, 0.000, 0.000)  0.01
Au (0.250, 0.750, 0.500)  0.01
K (0.500, 0.500, 0.000)  0.01
Mn (0.750, 0.250, 0.500)  4.19

Entry 5:
KMnAu4: relaxed, PBE.

The calculated total energy comes out at -3.837 eV per atom.

Unit cell a=5.635 b=5.635 c=5.635 alpha=60.00 beta=60.00 gamma=60.00
Last column: magnetic moment on the atom in μB.
Atoms (fractional coordinates):
K (0.750, 0.750, 0.750)  0.00
Mn (0.000, 0.000, 0.000)  4.28
Au (0.375, 0.876, 0.375)  0.01
Au (0.876, 0.375, 0.375)  0.01
Au (0.375, 0.375, 0.876)  0.01
Au (0.375, 0.375, 0.375)  0.01

Entry 6:
K2MnAu: relaxed, PBE.

As for the offset from the most stable computed form: 0.318 eV/atom. The calculated total energy comes out at -3.172 eV per atom.

Unit cell a=6.186 b=6.186 c=6.186 alpha=133.57 beta=133.56 gamma=67.77
Last column: magnetic moment on the atom in μB.
Atoms (fractional coordinates):
Au (0.750, 0.250, 0.500)  0.04
K (0.000, 0.000, 0.000)  0.00
K (0.500, 0.500, 0.000)  0.00
Mn (0.250, 0.750, 0.500)  4.24

Entry 7:
K2MnAu: relaxed, PBE.

As for the offset from the most stable computed form: 0.300 eV/atom. The calculated total energy comes out at -3.189 eV per atom.

Unit cell a=5.423 b=5.423 c=4.495 alpha=90.07 beta=90.07 gamma=107.21
Last column: magnetic moment on the atom in μB.
Atoms (fractional coordinates):
Au (0.000, 0.500, 0.500)  0.03
K (0.000, 0.000, 0.000)  -0.01
K (0.500, 0.500, 0.000)  -0.01
Mn (0.500, 0.000, 0.500)  4.22

Entry 8:
KMnAu: relaxed, PBE.

As for the offset from the most stable computed form: 0.289 eV/atom. The calculated total energy comes out at -4.006 eV per atom.

Unit cell a=5.011 b=5.011 c=5.011 alpha=60.00 beta=60.00 gamma=60.00
Last column: magnetic moment on the atom in μB.
Atoms (fractional coordinates):
Au (0.750, 0.750, 0.750)  0.06
K (0.000, 0.000, 0.000)  0.00
Mn (0.500, 0.500, 0.500)  4.32

Entry 9:
K2MnAu: relaxed, PBE.

As for the offset from the most stable computed form: 0.337 eV/atom. The calculated total energy comes out at -3.153 eV per atom.

Unit cell a=5.745 b=5.745 c=5.745 alpha=60.00 beta=60.00 gamma=60.00
Last column: magnetic moment on the atom in μB.
Atoms (fractional coordinates):
K (0.250, 0.250, 0.250)  -0.01
K (0.750, 0.750, 0.750)  -0.01
Mn (0.000, 0.000, 0.000)  4.25
Au (0.500, 0.500, 0.500)  0.02

Entry 10:
KMnAu: relaxed, PBE.

As for the offset from the most stable computed form: 0.768 eV/atom. The calculated total energy comes out at -3.527 eV per atom.

Unit cell a=5.229 b=5.229 c=5.229 alpha=60.00 beta=60.00 gamma=60.00
Last column: magnetic moment on the atom in μB.
Atoms (fractional coordinates):
Au (0.500, 0.500, 0.500)  0.07
K (0.750, 0.750, 0.750)  0.01
Mn (0.000, 0.000, 0.000)  4.46

Entry 11:
KMnAu2: relaxed, PBE.

The calculated total energy comes out at -4.138 eV per atom.

Unit cell a=4.450 b=3.162 c=7.148 alpha=89.95 beta=90.00 gamma=90.00
Last column: magnetic moment on the atom in μB.
Atoms (fractional coordinates):
Au (0.000, 0.125, 0.906)  0.04
Au (0.500, 0.125, 0.209)  0.03
K (0.000, 0.624, 0.480)  0.00
Mn (0.500, 0.626, 0.906)  3.93

Entry 12:
KMnAu2: relaxed, PBE.

The calculated total energy comes out at -4.019 eV per atom.

Unit cell a=3.564 b=3.564 c=7.677 alpha=90.00 beta=90.00 gamma=90.00
Last column: magnetic moment on the atom in μB.
Atoms (fractional coordinates):
Au (0.000, 0.000, 0.976)  0.09
Au (0.500, 0.500, 0.191)  0.05
K (0.000, 0.000, 0.484)  0.00
Mn (0.500, 0.500, 0.849)  4.03